Below is a relaxed MnCo2Re crystal, with properties calculated at the PBE level.

Results
As for the energy above the most stable polymorph in this dataset: 0.000 eV/atom. The value obtained for the calculated formation energy is 13 meV per atom. The space group is I4/mmm, No. 139. The magnetization is 1.91 μB/f.u. The calculation puts the calculated density at 12.69 g/cm3.

a = 4.4144 Å, b = 4.4144 Å, c = 4.4144 Å
α = 131.71°, β = 131.71°, γ = 70.69°
Last column: nearest neighbours and their distance in Å.
Fractional positions:
Mn: 0.0000 0.0000 0.0000  8 Co 2.55, 4 Re 2.55
Co: 0.2500 0.7500 0.5000  4 Mn 2.55, 4 Re 2.55, 4 Co 2.55
Co: 0.7500 0.2500 0.5000  4 Mn 2.55, 4 Re 2.55, 4 Co 2.55
Re: 0.5000 0.5000 0.0000  8 Co 2.55, 4 Mn 2.55

Below is a relaxed ScBeTl crystal, with properties calculated at the PBE level.

Results
As for the energy above the most stable polymorph in this dataset: 0.052 eV/atom. The value obtained for the calculated formation energy is -36 meV per atom. The space group is R3m, No. 160. The magnetization is 0.00 μB/f.u. The calculation puts the calculated density at 7.54 g/cm3.

a = 7.3744 Å, b = 7.3744 Å, c = 7.3744 Å
α = 34.35°, β = 34.35°, γ = 34.35°
Last column: nearest neighbours and their distance in Å.
Fractional positions:
Sc: 0.0000 0.0000 0.0000  1 Be 2.65
Sc: 0.1653 0.1653 0.1653  6 Be 2.65-2.88
Be: 0.7647 0.7647 0.7647  1 Be 2.24
Be: 0.8725 0.8725 0.8725  1 Be 2.24
Tl: 0.4104 0.4104 0.4104  3 Be 2.55
Tl: 0.5842 0.5842 0.5842  3 Be 2.68

Below is a relaxed HoEr3Mg6 crystal, with properties calculated at the PBE level.

Results
As for the energy above the most stable polymorph in this dataset: 0.000 eV/atom. The value obtained for the calculated formation energy is -56 meV per atom. The space group is P2_1/m, No. 11. The magnetization is 0.00 μB/f.u. The calculation puts the calculated density at 5.19 g/cm3.

a = 9.2106 Å, b = 5.2441 Å, c = 11.1812 Å
α = 90.00°, β = 105.58°, γ = 90.00°
Last column: nearest neighbours and their distance in Å.
Fractional positions:
Ho: 0.0504 0.2500 0.3998  8 Mg 3.19-3.26
Ho: 0.9496 0.7500 0.6002  8 Mg 3.19-3.26
Er: 0.2519 0.2500 0.9959  8 Mg 3.19-3.27
Er: 0.3515 0.7500 0.7967  8 Mg 3.25-3.31
Er: 0.4546 0.2500 0.6023  8 Mg 3.20-3.32
Er: 0.5454 0.7500 0.3977  8 Mg 3.20-3.32
Er: 0.6485 0.2500 0.2033  8 Mg 3.25-3.31
Er: 0.7481 0.7500 0.0041  8 Mg 3.19-3.27
Mg: 0.0467 0.7500 0.8999  3 Mg 3.18, 1 Ho 3.23, 4 Er 3.24-3.31
Mg: 0.1443 0.2500 0.6997  4 Er 3.19-3.32, 1 Mg 3.20, 3 Ho 3.20-3.23
Mg: 0.1459 0.7500 0.1948  8 Mg 3.18-3.20
Mg: 0.2447 0.7500 0.4915  3 Ho 3.19-3.26, 1 Mg 3.20, 4 Er 3.21-3.30
Mg: 0.3408 0.2500 0.2942  1 Ho 3.20, 2 Mg 3.20, 5 Er 3.21-3.32
Mg: 0.4430 0.7500 0.1010  1 Mg 3.18, 7 Er 3.20-3.28
Mg: 0.5570 0.2500 0.8990  1 Mg 3.18, 7 Er 3.20-3.28
Mg: 0.6592 0.7500 0.7058  1 Ho 3.20, 2 Mg 3.20, 5 Er 3.21-3.32
Mg: 0.7553 0.2500 0.5085  3 Ho 3.19-3.26, 1 Mg 3.20, 4 Er 3.21-3.30
Mg: 0.8541 0.2500 0.8052  8 Mg 3.18-3.20
Mg: 0.8557 0.7500 0.3003  4 Er 3.19-3.32, 1 Mg 3.20, 3 Ho 3.20-3.23
Mg: 0.9533 0.2500 0.1001  3 Mg 3.18, 1 Ho 3.23, 4 Er 3.24-3.31

Below is a relaxed BaAgP4 crystal, with properties calculated at the PBE level.

Results
The value obtained for the calculated formation energy is -11 meV per atom. The space group is F-43m, No. 216. The magnetization is 0.00 μB/f.u. The calculation puts the calculated density at 4.41 g/cm3.

a = 5.8129 Å, b = 5.8129 Å, c = 5.8129 Å
α = 60.00°, β = 60.00°, γ = 60.00°
Last column: nearest neighbours and their distance in Å.
Fractional positions:
Ba: 0.0000 0.0000 0.0000  12 P 3.50, 4 Ag 3.56
Ag: 0.2500 0.2500 0.2500  12 P 3.36, 4 Ba 3.56
P: 0.2056 0.5981 0.5981  3 P 2.28
P: 0.5981 0.2056 0.5981  3 P 2.28
P: 0.5981 0.5981 0.2056  3 P 2.28
P: 0.5981 0.5981 0.5981  3 P 2.28

Below is a relaxed Ca2Tm3Se6 crystal, with properties calculated at the PBE level.

Results
The space group is C2/m, No. 12. The magnetization is 0.00 μB/f.u. The calculation puts the uncorrected formation energy at -1.914 eV per atom. The calculation puts the calculated density at 6.04 g/cm3.

a = 7.0236 Å, b = 7.0236 Å, c = 7.2143 Å
α = 99.32°, β = 99.32°, γ = 119.97°
Last column: nearest neighbours and their distance in Å.
Fractional positions:
Ca: 0.1670 0.8330 0.0000  6 Se 2.94-2.95
Ca: 0.8330 0.1670 0.0000  6 Se 2.94-2.95
Tm: 0.0000 0.0000 0.5000  6 Se 2.85
Tm: 0.3343 0.6657 0.5000  6 Se 2.85
Tm: 0.6657 0.3343 0.5000  6 Se 2.85
Se: 0.0784 0.4122 0.7374  3 Tm 2.85, 2 Ca 2.94-2.95
Se: 0.2536 0.2536 0.2614  3 Tm 2.85, 2 Ca 2.95
Se: 0.4122 0.0784 0.7374  3 Tm 2.85, 2 Ca 2.94-2.95
Se: 0.5878 0.9216 0.2626  3 Tm 2.85, 2 Ca 2.94-2.95
Se: 0.7464 0.7464 0.7386  3 Tm 2.85, 2 Ca 2.95
Se: 0.9216 0.5878 0.2626  3 Tm 2.85, 2 Ca 2.94-2.95

Below is a relaxed TbMg16Al12 crystal, with properties calculated at the PBE level.

Results
As for the energy above the most stable polymorph in this dataset: 0.003 eV/atom. The value obtained for the calculated formation energy is -72 meV per atom. The space group is R3m, No. 160. The magnetization is 0.00 μB/f.u. The calculation puts the calculated density at 2.46 g/cm3.

a = 9.2010 Å, b = 9.2010 Å, c = 9.2010 Å
α = 109.96°, β = 109.96°, γ = 109.96°
Last column: nearest neighbours and their distance in Å.
Fractional positions:
Tb: 0.0000 0.0000 0.0000  4 Mg 3.10-3.37, 9 Al 3.23-3.25
Mg: 0.0587 0.0587 0.6573  5 Al 2.87-3.19, 5 Mg 3.06-3.17
Mg: 0.0587 0.6573 0.0587  5 Al 2.87-3.19, 5 Mg 3.06-3.17
Mg: 0.0949 0.7636 0.7636  3 Al 2.81-3.03, 1 Tb 3.10, 4 Mg 3.11-3.13
Mg: 0.3732 0.6854 0.9794  5 Al 2.94-3.27, 7 Mg 3.05-3.17
Mg: 0.3732 0.9794 0.6854  5 Al 2.94-3.27, 7 Mg 3.05-3.17
Mg: 0.3748 0.3748 0.3748  3 Mg 3.14, 12 Al 3.21, 1 Tb 3.37
Mg: 0.3761 0.3761 0.7174  4 Mg 3.05-3.14, 6 Al 3.07-3.11
Mg: 0.3761 0.7174 0.3761  4 Mg 3.05-3.14, 6 Al 3.07-3.11
Mg: 0.6573 0.0587 0.0587  5 Al 2.87-3.19, 5 Mg 3.06-3.17
Mg: 0.6854 0.3732 0.9794  5 Al 2.94-3.27, 7 Mg 3.05-3.17
Mg: 0.6854 0.9794 0.3732  5 Al 2.94-3.27, 7 Mg 3.05-3.17
Mg: 0.7174 0.3761 0.3761  4 Mg 3.05-3.14, 6 Al 3.07-3.11
Mg: 0.7636 0.0949 0.7636  3 Al 2.81-3.03, 1 Tb 3.10, 4 Mg 3.11-3.13
Mg: 0.7636 0.7636 0.0949  3 Al 2.81-3.03, 1 Tb 3.10, 4 Mg 3.11-3.13
Mg: 0.9794 0.3732 0.6854  5 Al 2.94-3.27, 7 Mg 3.05-3.17
Mg: 0.9794 0.6854 0.3732  5 Al 2.94-3.27, 7 Mg 3.05-3.17
Al: 0.0086 0.1876 0.3727  3 Al 2.70-2.79, 3 Mg 2.94-2.98
Al: 0.0086 0.3727 0.1876  3 Al 2.70-2.79, 3 Mg 2.94-2.98
Al: 0.1876 0.0086 0.3727  3 Al 2.70-2.79, 3 Mg 2.94-2.98
Al: 0.1876 0.3727 0.0086  3 Al 2.70-2.79, 3 Mg 2.94-2.98
Al: 0.2006 0.5624 0.5624  3 Al 2.67-2.77, 3 Mg 2.81-2.99
Al: 0.3727 0.0086 0.1876  3 Al 2.70-2.79, 3 Mg 2.94-2.98
Al: 0.3727 0.1876 0.0086  3 Al 2.70-2.79, 3 Mg 2.94-2.98
Al: 0.5624 0.2006 0.5624  3 Al 2.67-2.77, 3 Mg 2.81-2.99
Al: 0.5624 0.5624 0.2006  3 Al 2.67-2.77, 3 Mg 2.81-2.99
Al: 0.5620 0.7456 0.7456  3 Al 2.67-2.77, 1 Mg 2.87
Al: 0.7456 0.5620 0.7456  3 Al 2.67-2.77, 1 Mg 2.87
Al: 0.7456 0.7456 0.5620  3 Al 2.67-2.77, 1 Mg 2.87

Below is a relaxed SmY2Er2Tm crystal, with properties calculated at the PBE level.

Results
The value obtained for the calculated formation energy is 161 meV per atom. The space group is Pnnm, No. 58. The magnetization is 0.04 μB/f.u. The calculation puts the calculated density at 7.10 g/cm3.

a = 6.9096 Å, b = 16.0704 Å, c = 3.5029 Å
α = 90.00°, β = 90.00°, γ = 90.00°
Last column: nearest neighbours and their distance in Å.
Fractional positions:
Sm: 0.0000 0.0000 0.0000  4 Er 3.45, 2 Tm 3.45, 2 Sm 3.50, 4 Y 3.59
Sm: 0.5000 0.5000 0.5000  4 Er 3.45, 2 Tm 3.45, 2 Sm 3.50, 4 Y 3.59
Y: 0.2497 0.1623 0.5000  4 Er 3.45-3.49, 2 Y 3.50, 2 Sm 3.59, 2 Tm 3.59
Y: 0.2503 0.6623 0.0000  4 Er 3.45-3.49, 2 Y 3.50, 2 Sm 3.59, 2 Tm 3.59
Y: 0.7497 0.3377 0.0000  4 Er 3.45-3.49, 2 Y 3.50, 2 Sm 3.59, 2 Tm 3.59
Y: 0.7503 0.8377 0.5000  4 Er 3.45-3.49, 2 Y 3.50, 2 Sm 3.59, 2 Tm 3.59
Er: 0.2488 0.3499 0.0000  2 Tm 3.44, 2 Sm 3.45, 4 Y 3.45-3.49, 2 Er 3.50
Er: 0.2512 0.8499 0.5000  2 Tm 3.44, 2 Sm 3.45, 4 Y 3.45-3.49, 2 Er 3.50
Er: 0.7488 0.1501 0.5000  2 Tm 3.44, 2 Sm 3.45, 4 Y 3.45-3.49, 2 Er 3.50
Er: 0.7512 0.6501 0.0000  2 Tm 3.44, 2 Sm 3.45, 4 Y 3.45-3.49, 2 Er 3.50
Tm: 0.0000 0.5000 0.5000  4 Er 3.44, 2 Sm 3.45, 2 Tm 3.50, 4 Y 3.59
Tm: 0.5000 0.0000 0.0000  4 Er 3.44, 2 Sm 3.45, 2 Tm 3.50, 4 Y 3.59

Below is a relaxed Tb2SmDyY6 crystal, with properties calculated at the PBE level.

Results
The value obtained for the calculated formation energy is 117 meV per atom. The space group is C2/c, No. 15. The magnetization is 0.00 μB/f.u. The calculation puts the calculated density at 5.91 g/cm3.

a = 8.7912 Å, b = 8.7912 Å, c = 9.6576 Å
α = 94.35°, β = 94.35°, γ = 117.57°
Last column: nearest neighbours and their distance in Å.
Fractional positions:
Tb: 0.1962 0.2980 0.0460  6 Y 3.27-3.64, 2 Sm 3.39-3.40, 1 Dy 3.53
Tb: 0.2980 0.1962 0.5460  6 Y 3.27-3.64, 2 Sm 3.39-3.40, 1 Dy 3.53
Tb: 0.7020 0.8038 0.4540  6 Y 3.27-3.64, 2 Sm 3.39-3.40, 1 Dy 3.53
Tb: 0.8038 0.7020 0.9540  6 Y 3.27-3.64, 2 Sm 3.39-3.40, 1 Dy 3.53
Sm: 0.0230 0.9770 0.2500  4 Tb 3.39-3.40, 4 Y 3.57-3.66
Sm: 0.9770 0.0230 0.7500  4 Tb 3.39-3.40, 4 Y 3.57-3.66
Dy: 0.4086 0.5914 0.7500  6 Y 3.41-3.55, 2 Tb 3.53
Dy: 0.5914 0.4086 0.2500  6 Y 3.41-3.55, 2 Tb 3.53
Y: 0.0171 0.5695 0.1837  3 Y 3.25-3.61, 2 Tb 3.40-3.64, 1 Dy 3.47, 1 Sm 3.57
Y: 0.1217 0.7496 0.5567  7 Y 3.42-3.75, 1 Tb 3.50, 1 Sm 3.66
Y: 0.2504 0.8783 0.9433  7 Y 3.42-3.75, 1 Tb 3.50, 1 Sm 3.66
Y: 0.2937 0.5069 0.3819  4 Y 3.25-3.54, 3 Tb 3.27-3.44, 2 Dy 3.41-3.55
Y: 0.4305 0.9829 0.3163  3 Y 3.25-3.61, 2 Tb 3.40-3.64, 1 Dy 3.47, 1 Sm 3.57
Y: 0.4931 0.7063 0.1181  4 Y 3.25-3.54, 3 Tb 3.27-3.44, 2 Dy 3.41-3.55
Y: 0.5069 0.2937 0.8819  4 Y 3.25-3.54, 3 Tb 3.27-3.44, 2 Dy 3.41-3.55
Y: 0.5695 0.0171 0.6837  3 Y 3.25-3.61, 2 Tb 3.40-3.64, 1 Dy 3.47, 1 Sm 3.57
Y: 0.7063 0.4931 0.6181  4 Y 3.25-3.54, 3 Tb 3.27-3.44, 2 Dy 3.41-3.55
Y: 0.7496 0.1217 0.0567  7 Y 3.42-3.75, 1 Tb 3.50, 1 Sm 3.66
Y: 0.8783 0.2504 0.4433  7 Y 3.42-3.75, 1 Tb 3.50, 1 Sm 3.66
Y: 0.9829 0.4305 0.8163  3 Y 3.25-3.61, 2 Tb 3.40-3.64, 1 Dy 3.47, 1 Sm 3.57

Below is a relaxed La2Tb3PrTe6 crystal, with properties calculated at the PBE level.

Results
The space group is C2/m, No. 12. The magnetization is 0.00 μB/f.u. The calculation puts the uncorrected formation energy at -1.432 eV per atom. The calculation puts the calculated density at 7.29 g/cm3.

a = 10.0221 Å, b = 10.0221 Å, c = 9.0060 Å
α = 103.97°, β = 103.97°, γ = 25.58°
Last column: nearest neighbours and their distance in Å.
Fractional positions:
La: 0.1653 0.1653 0.3302  6 Te 3.21-3.24
La: 0.8347 0.8347 0.6698  6 Te 3.21-3.24
Tb: 0.1665 0.1665 0.8329  6 Te 3.08-3.11
Tb: 0.5000 0.5000 0.5000  6 Te 3.10
Tb: 0.8335 0.8335 0.1671  6 Te 3.08-3.11
Pr: 0.5000 0.5000 0.0000  6 Te 3.21-3.22
Te: 0.0039 0.0039 0.7430  3 Tb 3.08-3.10, 1 La 3.21, 2 Pr 3.22
Te: 0.3305 0.3305 0.9267  3 Tb 3.09-3.11, 1 Pr 3.21, 2 La 3.22
Te: 0.3363 0.3363 0.4092  3 Tb 3.10, 3 La 3.24
Te: 0.6637 0.6637 0.5908  3 Tb 3.10, 3 La 3.24
Te: 0.6695 0.6695 0.0733  3 Tb 3.09-3.11, 1 Pr 3.21, 2 La 3.22
Te: 0.9961 0.9961 0.2570  3 Tb 3.08-3.10, 1 La 3.21, 2 Pr 3.22

- The highest magnetization belongs to which entry?
  MnCo2Re